(1)
The following is a PBE calculation of a relaxed LiDyAsAu crystal, from Alexandria via LeMat-Bulk.

Cell lengths 6.888, 6.888, 6.888 Å; angles 90.00, 90.00, 90.00 degrees
Space group F-43m (No. 216)
Asymmetric unit:
Li1 0.000 0.000 0.000
Dy1 0.000 0.000 0.500
As1 0.250 0.250 0.250
Au1 0.250 0.250 0.750

## Properties
Energy of formation from the pure elements, meV per atom: -842
Crystal system: cubic
E, eV for the cell shown: -71.24

(2)
The following is a PBE calculation of a relaxed DyAs2Rh5Au crystal, from Alexandria via LeMat-Bulk.

Cell lengths 4.204, 4.204, 8.702 Å; angles 90.00, 90.00, 90.00 degrees
Space group P4/mmm (No. 123)
Asymmetric unit:
Dy1 0.000 0.000 0.000
As1 0.500 0.500 0.359
Rh1 0.000 0.500 0.233
Rh2 0.500 0.500 0.000
Au1 0.000 0.000 0.500

## Properties
Energy of formation from the pure elements, meV per atom: -357
Crystal system: tetragonal
E, eV for the cell shown: -57.15

(3)
The following is a PBE calculation of a relaxed Dy4As2AuSe crystal, from Alexandria via LeMat-Bulk.

Cell lengths 7.096, 4.110, 7.211 Å; angles 90.00, 109.06, 90.00 degrees
Space group P2/m (No. 10)
Asymmetric unit:
Dy1 0.239 0.000 0.249
Dy2 0.240 0.500 0.743
As1 0.000 0.000 0.500
As2 0.000 0.500 0.000
Au1 0.500 0.000 0.000
Se1 0.500 0.500 0.500

## Properties
Crystal system: monoclinic
Raw formation energy, eV per atom: -1.397
E, eV for the cell shown: -45.64

(4)
The following is a PBE calculation of a relaxed Dy8As3AuSe4 crystal, from Alexandria via LeMat-Bulk.

Cell lengths 8.2080, 8.2080, 20.2309 Å; angles 90.00, 90.00, 120.00 degrees
Space group R-3m (No. 166, hexagonal axes)
Asymmetric unit:
Dy1 0.0000 0.0000 0.2457
Dy2 0.0032 0.5016 0.7520
As1 0.0000 0.5000 0.5000
Au1 0.0000 0.0000 0.5000
Se1 0.0000 0.0000 0.0000
Se2 0.0000 0.5000 0.0000

## Properties
Crystal system: trigonal
Raw formation energy, eV per atom: -1.582
E, eV for the cell shown: -279.88

(5)
The following is a PBE calculation of a relaxed Dy4AsAuSe2 crystal, from Alexandria via LeMat-Bulk.

Cell lengths 7.150, 4.060, 7.203 Å; angles 90.00, 108.64, 90.00 degrees
Space group P2/m (No. 10)
Asymmetric unit:
Dy1 0.243 0.000 0.244
Dy2 0.248 0.500 0.752
As1 0.000 0.500 0.000
Au1 0.500 0.000 0.000
Se1 0.000 0.000 0.500
Se2 0.500 0.500 0.500

## Properties
Crystal system: monoclinic
Raw formation energy, eV per atom: -1.460
E, eV for the cell shown: -44.99

(6)
The following is a PBE calculation of a relaxed Dy8Te4As3Au crystal, from Alexandria via LeMat-Bulk.

Cell lengths 8.4625, 8.4625, 21.0947 Å; angles 90.00, 90.00, 120.00 degrees
Space group R-3m (No. 166, hexagonal axes)
Asymmetric unit:
Dy1 0.0000 0.0000 0.2393
Dy2 0.0009 0.5004 0.7592
Te1 0.0000 0.0000 0.0000
Te2 0.0000 0.5000 0.0000
As1 0.0000 0.5000 0.5000
Au1 0.0000 0.0000 0.5000

## Properties
Crystal system: trigonal
Raw formation energy, eV per atom: -1.365
E, eV for the cell shown: -265.37

(7)
The following is a PBE calculation of a relaxed Dy4Te2AsAu crystal, from Alexandria via LeMat-Bulk.

Cell lengths 7.439, 4.175, 7.469 Å; angles 90.00, 108.58, 90.00 degrees
Space group P2/m (No. 10)
Asymmetric unit:
Dy1 0.223 0.000 0.236
Dy2 0.223 0.500 0.743
Te1 0.500 0.000 0.000
Te2 0.500 0.500 0.500
As1 0.000 0.500 0.000
Au1 0.000 0.000 0.500

## Properties
Crystal system: monoclinic
Raw formation energy, eV per atom: -1.247
E, eV for the cell shown: -42.60

(8)
The following is a PBE calculation of a relaxed ErAsAu2 crystal, from Alexandria via LeMat-Bulk.

Cell lengths 4.022, 4.022, 5.018 Å; angles 90.00, 90.00, 90.00 degrees
Space group P4/mmm (No. 123)
Asymmetric unit:
Er1 0.000 0.000 0.000
As1 0.500 0.500 0.000
Au1 0.000 0.500 0.500

## Properties
Energy of formation from the pure elements, meV per atom: -658
Crystal system: tetragonal
E, eV for the cell shown: -18.40

(9)
The following is a PBE calculation of a relaxed ErAsAu crystal, from Alexandria via LeMat-Bulk.

Cell lengths 4.3012, 4.3012, 4.0683 Å; angles 90.00, 90.00, 120.00 degrees
Space group P3m1 (No. 156)
Asymmetric unit:
Er1 0.0000 0.0000 0.0000
As1 0.6667 0.3333 0.3980
Au1 0.3333 0.6667 0.5938

## Properties
Energy of formation from the pure elements, meV per atom: -825
Crystal system: trigonal
E, eV for the cell shown: -14.96

(10)
The following is a PBE calculation of a relaxed Er2AsAu crystal, from Alexandria via LeMat-Bulk.

Cell lengths 4.0404, 4.0404, 21.0143 Å; angles 90.00, 90.00, 120.00 degrees
Space group R-3m (No. 166, hexagonal axes)
Asymmetric unit:
Er1 0.0000 0.0000 0.2458
As1 0.0000 0.0000 0.5000
Au1 0.0000 0.0000 0.0000

## Properties
Energy of formation from the pure elements, meV per atom: -1062
Crystal system: trigonal
E, eV for the cell shown: -63.90

(11)
The following is a PBE calculation of a relaxed Er4AsAuS2 crystal, from Alexandria via LeMat-Bulk.

Cell lengths 6.840, 3.936, 7.065 Å; angles 90.00, 108.47, 90.00 degrees
Space group P2/m (No. 10)
Asymmetric unit:
Er1 0.244 0.000 0.236
Er2 0.248 0.500 0.758
As1 0.000 0.000 0.500
Au1 0.500 0.500 0.500
S1 0.000 0.500 0.000
S2 0.500 0.000 0.000

## Properties
Crystal system: monoclinic
Raw formation energy, eV per atom: -1.523
E, eV for the cell shown: -46.62

(12)
The following is a PBE calculation of a relaxed Er6AsAu2Se3 crystal, from Alexandria via LeMat-Bulk.

Cell lengths 18.381, 4.004, 8.343 Å; angles 90.00, 108.73, 90.00 degrees
Space group C2/m (No. 12)
Asymmetric unit:
Er1 0.009 0.000 0.248
Er2 0.159 0.500 0.610
Er3 0.167 0.500 0.117
As1 0.000 0.500 0.000
Au1 0.183 0.000 0.381
Se1 0.000 0.500 0.500
Se2 0.160 0.000 0.860

## Properties
Crystal system: monoclinic
Raw formation energy, eV per atom: -1.394
E, eV for the cell shown: -131.54

(13)
The following is a PBE calculation of a relaxed Er8As3AuSe4 crystal, from Alexandria via LeMat-Bulk.

Cell lengths 8.1337, 8.1337, 20.0829 Å; angles 90.00, 90.00, 120.00 degrees
Space group R-3m (No. 166, hexagonal axes)
Asymmetric unit:
Er1 0.0000 0.0000 0.2455
Er2 0.0018 0.5009 0.7524
As1 0.0000 0.5000 0.5000
Au1 0.0000 0.0000 0.5000
Se1 0.0000 0.0000 0.0000
Se2 0.0000 0.5000 0.0000

## Properties
Crystal system: trigonal
Raw formation energy, eV per atom: -1.550
E, eV for the cell shown: -277.38

(14)
The following is a PBE calculation of a relaxed Er6As2AuSe3 crystal, from Alexandria via LeMat-Bulk.

Cell lengths 17.858, 4.039, 8.231 Å; angles 90.00, 103.50, 90.00 degrees
Space group C2/m (No. 12)
Asymmetric unit:
Er1 0.002 0.000 0.248
Er2 0.166 0.500 0.091
Er3 0.170 0.500 0.577
As1 0.166 0.000 0.335
Au1 0.000 0.500 0.000
Se1 0.000 0.500 0.500
Se2 0.169 0.000 0.833

## Properties
Crystal system: monoclinic
Raw formation energy, eV per atom: -1.520
E, eV for the cell shown: -137.30

(15)
The following is a PBE calculation of a relaxed Er8Te4As3Au crystal, from Alexandria via LeMat-Bulk.

Cell lengths 8.3978, 8.3978, 20.9235 Å; angles 90.00, 90.00, 120.00 degrees
Space group R-3m (No. 166, hexagonal axes)
Asymmetric unit:
Er1 0.0000 0.0000 0.2391
Er2 0.0006 0.5003 0.2401
Te1 0.0000 0.0000 0.0000
Te2 0.0000 0.5000 0.0000
As1 0.0000 0.5000 0.5000
Au1 0.0000 0.0000 0.5000

## Properties
Crystal system: trigonal
Raw formation energy, eV per atom: -1.329
E, eV for the cell shown: -262.70

(16)
The following is a PBE calculation of a relaxed EuAsAu4 crystal, from Alexandria via LeMat-Bulk.

Cell lengths 7.970, 7.970, 7.970 Å; angles 90.00, 90.00, 90.00 degrees
Space group F-43m (No. 216)
Asymmetric unit:
Eu1 0.000 0.000 0.000
As1 0.250 0.250 0.750
Au1 0.125 0.125 0.375

## Properties
Energy of formation from the pure elements, meV per atom: -352
Crystal system: cubic
E, eV for the cell shown: -120.59

(17)
The following is a PBE calculation of a relaxed EuAs2Au crystal, from Alexandria via LeMat-Bulk.

Cell lengths 4.574, 4.574, 4.042 Å; angles 90.00, 90.00, 90.00 degrees
Space group P4/mmm (No. 123)
Asymmetric unit:
Eu1 0.000 0.000 0.000
As1 0.000 0.500 0.500
Au1 0.500 0.500 0.000

## Properties
Energy of formation from the pure elements, meV per atom: -495
Crystal system: tetragonal
E, eV for the cell shown: -24.83

(18)
The following is a PBE calculation of a relaxed Eu2AsAu crystal, from Alexandria via LeMat-Bulk.

Cell lengths 5.205, 5.205, 3.816 Å; angles 90.00, 90.00, 90.00 degrees
Space group P4/mmm (No. 123)
Asymmetric unit:
Eu1 0.000 0.500 0.000
As1 0.000 0.000 0.500
Au1 0.500 0.500 0.500

## Properties
Energy of formation from the pure elements, meV per atom: -959
Crystal system: tetragonal
E, eV for the cell shown: -32.31

(19)
The following is a PBE calculation of a relaxed Eu2AsAu crystal, from Alexandria via LeMat-Bulk.

Cell lengths 7.453, 7.453, 7.453 Å; angles 90.00, 90.00, 90.00 degrees
Space group Fm-3m (No. 225)
Asymmetric unit:
Eu1 0.250 0.250 0.250
As1 0.000 0.000 0.000
Au1 0.000 0.000 0.500

## Properties
Energy of formation from the pure elements, meV per atom: -1002
Crystal system: cubic
E, eV for the cell shown: -129.94

(20)
The following is a PBE calculation of a relaxed EuInAsAu crystal, from Alexandria via LeMat-Bulk.

Cell lengths 7.255, 7.255, 7.255 Å; angles 90.00, 90.00, 90.00 degrees
Space group F-43m (No. 216)
Asymmetric unit:
Eu1 0.000 0.000 0.000
In1 0.000 0.000 0.500
As1 0.250 0.250 0.250
Au1 0.250 0.250 0.750

## Properties
Energy of formation from the pure elements, meV per atom: -522
Crystal system: cubic
E, eV for the cell shown: -92.10

(21)
The following is a PBE calculation of a relaxed LiEuAsAu crystal, from Alexandria via LeMat-Bulk.

Cell lengths 7.022, 7.022, 7.022 Å; angles 90.00, 90.00, 90.00 degrees
Space group F-43m (No. 216)
Asymmetric unit:
Li1 0.000 0.000 0.000
Eu1 0.000 0.000 0.500
As1 0.250 0.250 0.250
Au1 0.250 0.250 0.750

## Properties
Energy of formation from the pure elements, meV per atom: -718
Crystal system: cubic
E, eV for the cell shown: -91.95

(22)
The following is a PBE calculation of a relaxed NaEuAsAu crystal, from Alexandria via LeMat-Bulk.

Cell lengths 7.222, 7.222, 7.222 Å; angles 90.00, 90.00, 90.00 degrees
Space group F-43m (No. 216)
Asymmetric unit:
Na1 0.000 0.000 0.000
Eu1 0.000 0.000 0.500
As1 0.250 0.250 0.250
Au1 0.250 0.250 0.750

## Properties
Energy of formation from the pure elements, meV per atom: -658
Crystal system: cubic
E, eV for the cell shown: -88.60

(23)
The following is a PBE calculation of a relaxed NdEuAsAu crystal, from Alexandria via LeMat-Bulk.

Cell lengths 7.417, 7.417, 7.417 Å; angles 90.00, 90.00, 90.00 degrees
Space group F-43m (No. 216)
Asymmetric unit:
Nd1 0.000 0.000 0.000
Eu1 0.000 0.000 0.500
As1 0.250 0.250 0.250
Au1 0.250 0.250 0.750

## Properties
Energy of formation from the pure elements, meV per atom: -913
Crystal system: cubic
E, eV for the cell shown: -106.48

(24)
The following is a PBE calculation of a relaxed EuAsPbAu crystal, from Alexandria via LeMat-Bulk.

Cell lengths 7.398, 7.398, 7.398 Å; angles 90.00, 90.00, 90.00 degrees
Space group F-43m (No. 216)
Asymmetric unit:
Eu1 0.000 0.000 0.000
As1 0.250 0.250 0.750
Pb1 0.000 0.000 0.500
Au1 0.250 0.250 0.250

## Properties
Energy of formation from the pure elements, meV per atom: -518
Crystal system: cubic
E, eV for the cell shown: -95.93

(25)
The following is a PBE calculation of a relaxed PmEuAsAu crystal, from Alexandria via LeMat-Bulk.

Cell lengths 7.389, 7.389, 7.389 Å; angles 90.00, 90.00, 90.00 degrees
Space group F-43m (No. 216)
Asymmetric unit:
Pm1 0.000 0.000 0.000
Eu1 0.000 0.000 0.500
As1 0.250 0.250 0.750
Au1 0.250 0.250 0.250

## Properties
Energy of formation from the pure elements, meV per atom: -911
Crystal system: cubic
E, eV for the cell shown: -106.39